(1)
First-principles (PBE) data for a relaxed structure of MgTcAu4, as listed in the Alexandria database.

Calculated values
Energy in eV/atom: -3.908
SG: F-43m (216)
Crystal system: cubic

Cell lengths 5.4690, 5.4690, 5.4690 Å; angles 60.00, 60.00, 60.00 degrees
Last column: nearest neighbours and their distance in Å.
Fractional coordinates of all 6 atoms:
Mg 0.0000 0.0000 0.0000  12 Au 3.21, 4 Tc 3.35
Tc 0.7500 0.7500 0.7500  12 Au 3.21, 4 Mg 3.35
Au 0.3750 0.3750 0.3750  6 Au 2.73-2.74
Au 0.3750 0.3750 0.8749  6 Au 2.73-2.74
Au 0.3750 0.8749 0.3750  6 Au 2.73-2.74
Au 0.8749 0.3750 0.3750  6 Au 2.73-2.74

=====

(2)
First-principles (PBE) data for a relaxed structure of MgTc2Au, as listed in the Alexandria database.

Calculated values
Energy in eV/atom: -6.443
SG: P4mm (99)
Crystal system: tetragonal
Energy above the most stable polymorph in this dataset in meV per atom: 0

Cell lengths 2.9801, 2.9801, 7.4139 Å; angles 90.00, 90.00, 90.00 degrees
Last column: nearest neighbours and their distance in Å.
Fractional coordinates of all 4 atoms:
Mg 0.0000 0.0000 0.0000  4 Au 2.84, 4 Tc 2.89, 4 Mg 2.98
Tc 0.0000 0.0000 0.4580  4 Tc 2.54
Tc 0.5000 0.5000 0.2676  4 Tc 2.54
Au 0.5000 0.5000 0.7437  4 Mg 2.84, 4 Au 2.98, 4 Tc 2.99

=====

(3)
First-principles (PBE) data for a relaxed structure of Mg3TcAu, as listed in the Alexandria database.

Calculated values
Energy in eV/atom: -3.036
SG: Pm-3m (221)
Crystal system: cubic
Energy above the most stable polymorph in this dataset in meV per atom: 0

Cell lengths 4.9679, 4.9679, 4.9679 Å; angles 90.00, 90.00, 90.00 degrees
Last column: nearest neighbours and their distance in Å.
Fractional coordinates of all 5 atoms:
Mg 0.0000 0.0000 0.5000  2 Au 2.48
Mg 0.0000 0.5000 0.0000  2 Au 2.48
Mg 0.5000 0.0000 0.0000  2 Au 2.48
Tc 0.5000 0.5000 0.5000  12 Mg 3.51
Au 0.0000 0.0000 0.0000  6 Mg 2.48

=====

Table of Fermi-level density of states (states/eV/cell), in record order: 2.798, 2.565, 5.043
Table of magnetic moment (μB/f.u.), in record order: 3.33, 0.00, 3.28
Table of V (Å³ per cell), in record order: 116, 66, 123